No. 1
VASP calculation (PBE-GGA) on a relaxed structure of Ca2FeNi.

Computed properties:
ΔE_f (eV per atom): 0.13
Raw total energy (eV/atom): -4.428
Energy above the most stable polymorph in this dataset (eV per atom): 0.000
Spin magnetization (μB/cell): 2.6

Cell: 3.9163 5.8089 5.8089 Å, 44.70 90.00 90.00°
Element x y z (fractional)
Ca1 0.0000 0.0000 0.0000
Ca2 0.5000 0.2837 0.2837
Fe1 0.0000 0.6922 0.6922
Ni1 0.5000 0.5851 0.5851

No. 2
VASP calculation (PBE-GGA) on a relaxed structure of SrPr2Ni.

Computed properties:
ΔE_f (eV per atom): 0.04
Raw total energy (eV/atom): -4.211
Energy above the most stable polymorph in this dataset (eV per atom): 0.101
Spin magnetization (μB/cell): 0.0

Cell: 11.1479 11.1479 11.1479 Å, 20.67 20.67 20.67°
Element x y z (fractional)
Sr1 0.0000 0.0000 0.0000
Pr1 0.1183 0.1183 0.1183
Pr2 0.8817 0.8817 0.8817
Ni1 0.5000 0.5000 0.5000

No. 3
VASP calculation (PBE-GGA) on a relaxed structure of RbPtO.

Computed properties:
Uncorrected formation energy (eV per atom): -0.629
Raw total energy (eV/atom): -4.618
Spin magnetization (μB/cell): 0.0

Cell: 3.5260 6.1752 6.5725 Å, 103.98 90.01 106.51°
Element x y z (fractional)
Rb1 0.0971 0.1930 0.3261
Rb2 0.9029 0.8070 0.6739
Pt1 0.1974 0.3944 0.8655
Pt2 0.8026 0.6056 0.1345
O1 0.3592 0.7190 0.2860
O2 0.6408 0.2810 0.7140